<w>
# LuZnCoPd | OQMD | PBE-GGA | relaxed
# Crystal system = cubic
# Total magnetization = 4.21 Bohr magnetons per cell
# Density = 10.2 Mg/m³
data_LuZnCoPd
_chemical_formula_sum 'Lu4 Zn4 Co4 Pd4'
_cell_length_a 6.4193
_cell_length_b 6.4193
_cell_length_c 6.4193
_cell_angle_alpha 90.00
_cell_angle_beta 90.00
_cell_angle_gamma 90.00
_symmetry_space_group_name_H-M 'F -4 3 m'
_symmetry_Int_Tables_number 216
_symmetry_space_group_name_Hall 'F -4 2 3'
loop_
_atom_site_label
_atom_site_fract_x
_atom_site_fract_y
_atom_site_fract_z
Lu1 0.0000 0.0000 0.0000
Zn1 0.2500 0.2500 0.2500
Co1 0.0000 0.0000 0.5000
Pd1 0.2500 0.2500 0.7500

<x>
# LuZnCoPd | OQMD | PBE-GGA | relaxed
# Crystal system = cubic
# Total magnetization = 0.07 Bohr magnetons per cell
# Density = 10.6 Mg/m³
data_LuZnCoPd
_chemical_formula_sum 'Lu4 Zn4 Co4 Pd4'
_cell_length_a 6.3263
_cell_length_b 6.3263
_cell_length_c 6.3263
_cell_angle_alpha 90.00
_cell_angle_beta 90.00
_cell_angle_gamma 90.00
_symmetry_space_group_name_H-M 'F -4 3 m'
_symmetry_Int_Tables_number 216
_symmetry_space_group_name_Hall 'F -4 2 3'
loop_
_atom_site_label
_atom_site_fract_x
_atom_site_fract_y
_atom_site_fract_z
Lu1 0.0000 0.0000 0.0000
Zn1 0.0000 0.0000 0.5000
Co1 0.2500 0.2500 0.7500
Pd1 0.2500 0.2500 0.2500

Stability check: which of them is least stable? <w>.

<w>
# LuCoSiPt | OQMD | PBE-GGA | relaxed
# Crystal system = cubic
# Total magnetization = 7.15 Bohr magnetons per cell
# Density = 11.6 Mg/m³
data_LuCoSiPt
_chemical_formula_sum 'Lu4 Co4 Si4 Pt4'
_cell_length_a 6.4055
_cell_length_b 6.4055
_cell_length_c 6.4055
_cell_angle_alpha 90.00
_cell_angle_beta 90.00
_cell_angle_gamma 90.00
_symmetry_space_group_name_H-M 'F -4 3 m'
_symmetry_Int_Tables_number 216
_symmetry_space_group_name_Hall 'F -4 2 3'
loop_
_atom_site_label
_atom_site_fract_x
_atom_site_fract_y
_atom_site_fract_z
Lu1 0.0000 0.0000 0.0000
Co1 0.0000 0.0000 0.5000
Si1 0.2500 0.2500 0.2500
Pt1 0.2500 0.2500 0.7500

<x>
# LuCoSiPt | OQMD | PBE-GGA | relaxed
# Crystal system = cubic
# Total magnetization = 6.07 Bohr magnetons per cell
# Density = 12.2 Mg/m³
data_LuCoSiPt
_chemical_formula_sum 'Lu4 Co4 Si4 Pt4'
_cell_length_a 6.2970
_cell_length_b 6.2970
_cell_length_c 6.2970
_cell_angle_alpha 90.00
_cell_angle_beta 90.00
_cell_angle_gamma 90.00
_symmetry_space_group_name_H-M 'F -4 3 m'
_symmetry_Int_Tables_number 216
_symmetry_space_group_name_Hall 'F -4 2 3'
loop_
_atom_site_label
_atom_site_fract_x
_atom_site_fract_y
_atom_site_fract_z
Lu1 0.0000 0.0000 0.0000
Co1 0.2500 0.2500 0.7500
Si1 0.0000 0.0000 0.5000
Pt1 0.2500 0.2500 0.2500

Stability check: which of them is least stable? <w>.

<w>
# LuCoSnPt | OQMD | PBE-GGA | relaxed
# Crystal system = cubic
# Total magnetization = 5.89 Bohr magnetons per cell
# Density = 12.8 Mg/m³
data_LuCoSnPt
_chemical_formula_sum 'Lu4 Co4 Sn4 Pt4'
_cell_length_a 6.5791
_cell_length_b 6.5791
_cell_length_c 6.5791
_cell_angle_alpha 90.00
_cell_angle_beta 90.00
_cell_angle_gamma 90.00
_symmetry_space_group_name_H-M 'F -4 3 m'
_symmetry_Int_Tables_number 216
_symmetry_space_group_name_Hall 'F -4 2 3'
loop_
_atom_site_label
_atom_site_fract_x
_atom_site_fract_y
_atom_site_fract_z
Lu1 0.0000 0.0000 0.0000
Co1 0.2500 0.2500 0.7500
Sn1 0.0000 0.0000 0.5000
Pt1 0.2500 0.2500 0.2500

<x>
# LuCoSnPt | OQMD | PBE-GGA | relaxed
# Crystal system = cubic
# Total magnetization = 0.02 Bohr magnetons per cell
# Density = 12.5 Mg/m³
data_LuCoSnPt
_chemical_formula_sum 'Lu4 Co4 Sn4 Pt4'
_cell_length_a 6.6295
_cell_length_b 6.6295
_cell_length_c 6.6295
_cell_angle_alpha 90.00
_cell_angle_beta 90.00
_cell_angle_gamma 90.00
_symmetry_space_group_name_H-M 'F -4 3 m'
_symmetry_Int_Tables_number 216
_symmetry_space_group_name_Hall 'F -4 2 3'
loop_
_atom_site_label
_atom_site_fract_x
_atom_site_fract_y
_atom_site_fract_z
Lu1 0.0000 0.0000 0.0000
Co1 0.0000 0.0000 0.5000
Sn1 0.2500 0.2500 0.2500
Pt1 0.2500 0.2500 0.7500

Stability check: which of them is least stable? <x>.

<w>
# LuZnCoPt | OQMD | PBE-GGA | relaxed
# Crystal system = cubic
# Total magnetization = 5.34 Bohr magnetons per cell
# Density = 12.3 Mg/m³
data_LuZnCoPt
_chemical_formula_sum 'Lu4 Zn4 Co4 Pt4'
_cell_length_a 6.4372
_cell_length_b 6.4372
_cell_length_c 6.4372
_cell_angle_alpha 90.00
_cell_angle_beta 90.00
_cell_angle_gamma 90.00
_symmetry_space_group_name_H-M 'F -4 3 m'
_symmetry_Int_Tables_number 216
_symmetry_space_group_name_Hall 'F -4 2 3'
loop_
_atom_site_label
_atom_site_fract_x
_atom_site_fract_y
_atom_site_fract_z
Lu1 0.0000 0.0000 0.0000
Zn1 0.2500 0.2500 0.2500
Co1 0.0000 0.0000 0.5000
Pt1 0.2500 0.2500 0.7500

<x>
# LuZnCoPt | OQMD | PBE-GGA | relaxed
# Crystal system = cubic
# Total magnetization = 0.42 Bohr magnetons per cell
# Density = 12.9 Mg/m³
data_LuZnCoPt
_chemical_formula_sum 'Lu4 Zn4 Co4 Pt4'
_cell_length_a 6.3401
_cell_length_b 6.3401
_cell_length_c 6.3401
_cell_angle_alpha 90.00
_cell_angle_beta 90.00
_cell_angle_gamma 90.00
_symmetry_space_group_name_H-M 'F -4 3 m'
_symmetry_Int_Tables_number 216
_symmetry_space_group_name_Hall 'F -4 2 3'
loop_
_atom_site_label
_atom_site_fract_x
_atom_site_fract_y
_atom_site_fract_z
Lu1 0.0000 0.0000 0.0000
Zn1 0.0000 0.0000 0.5000
Co1 0.2500 0.2500 0.7500
Pt1 0.2500 0.2500 0.2500

Stability check: which of them is least stable? <w>.

<w>
# RbLuCo | OQMD | PBE-GGA | relaxed
# Crystal system = cubic
# Total magnetization = 3.20 Bohr magnetons per cell
# Density = 6.0 Mg/m³
data_RbLuCo
_chemical_formula_sum 'Rb4 Lu4 Co4'
_cell_length_a 7.0577
_cell_length_b 7.0577
_cell_length_c 7.0577
_cell_angle_alpha 90.00
_cell_angle_beta 90.00
_cell_angle_gamma 90.00
_symmetry_space_group_name_H-M 'F -4 3 m'
_symmetry_Int_Tables_number 216
_symmetry_space_group_name_Hall 'F -4 2 3'
loop_
_atom_site_label
_atom_site_fract_x
_atom_site_fract_y
_atom_site_fract_z
Rb1 0.0000 0.0000 0.0000
Lu1 0.2500 0.2500 0.2500
Co1 0.2500 0.2500 0.7500

<x>
# RbLuCo | OQMD | PBE-GGA | relaxed
# Crystal system = cubic
# Total magnetization = 2.09 Bohr magnetons per cell
# Density = 6.3 Mg/m³
data_RbLuCo
_chemical_formula_sum 'Rb4 Lu4 Co4'
_cell_length_a 6.9476
_cell_length_b 6.9476
_cell_length_c 6.9476
_cell_angle_alpha 90.00
_cell_angle_beta 90.00
_cell_angle_gamma 90.00
_symmetry_space_group_name_H-M 'F -4 3 m'
_symmetry_Int_Tables_number 216
_symmetry_space_group_name_Hall 'F -4 2 3'
loop_
_atom_site_label
_atom_site_fract_x
_atom_site_fract_y
_atom_site_fract_z
Rb1 0.0000 0.0000 0.0000
Lu1 0.0000 0.0000 0.5000
Co1 0.2500 0.2500 0.7500

Stability check: which of them is least stable? <w>.

<w>
# LuCoReSn | OQMD | PBE-GGA | relaxed
# Crystal system = cubic
# Total magnetization = 12.83 Bohr magnetons per cell
# Density = 12.6 Mg/m³
data_LuCoReSn
_chemical_formula_sum 'Lu4 Co4 Re4 Sn4'
_cell_length_a 6.5686
_cell_length_b 6.5686
_cell_length_c 6.5686
_cell_angle_alpha 90.00
_cell_angle_beta 90.00
_cell_angle_gamma 90.00
_symmetry_space_group_name_H-M 'F -4 3 m'
_symmetry_Int_Tables_number 216
_symmetry_space_group_name_Hall 'F -4 2 3'
loop_
_atom_site_label
_atom_site_fract_x
_atom_site_fract_y
_atom_site_fract_z
Lu1 0.0000 0.0000 0.0000
Co1 0.0000 0.0000 0.5000
Re1 0.2500 0.2500 0.7500
Sn1 0.2500 0.2500 0.2500

<x>
# LuCoReSn | OQMD | PBE-GGA | relaxed
# Crystal system = cubic
# Total magnetization = 2.95 Bohr magnetons per cell
# Density = 13.0 Mg/m³
data_LuCoReSn
_chemical_formula_sum 'Lu4 Co4 Re4 Sn4'
_cell_length_a 6.5026
_cell_length_b 6.5026
_cell_length_c 6.5026
_cell_angle_alpha 90.00
_cell_angle_beta 90.00
_cell_angle_gamma 90.00
_symmetry_space_group_name_H-M 'F -4 3 m'
_symmetry_Int_Tables_number 216
_symmetry_space_group_name_Hall 'F -4 2 3'
loop_
_atom_site_label
_atom_site_fract_x
_atom_site_fract_y
_atom_site_fract_z
Lu1 0.0000 0.0000 0.0000
Co1 0.2500 0.2500 0.7500
Re1 0.2500 0.2500 0.2500
Sn1 0.0000 0.0000 0.5000

Stability check: which of them is least stable? <w>.